[1]
This record from Alexandria describes crystalline SrCa2Y at its relaxed geometry. The functional is GGA-PBEsol.

a = 3.9983 Å, b = 3.9983 Å, c = 9.8471 Å
α = 90.00°, β = 90.00°, γ = 90.00°
Atoms (fractional coordinates):
Y (0.5000, 0.5000, 0.5000)
Ca (0.0000, 0.0000, 0.7206)
Ca (0.0000, 0.0000, 0.2794)
Sr (0.5000, 0.5000, 0.0000)

- raw total energy (eV per atom) = -3.1321
- M_tot (Bohr magnetons per cell) = 0.000
- energy above the lowest structure with this stoichiometry (meV/atom) = 0
- ρ (g cm⁻³) = 2.708
- space group = P4/mmm

=====

[2]
This record from Alexandria describes crystalline SrCa2Y at its relaxed geometry. The functional is GGA-PBEsol.

a = 6.0218 Å, b = 6.0218 Å, c = 6.0218 Å
α = 60.00°, β = 60.00°, γ = 60.00°
Atoms (fractional coordinates):
Y (0.2500, 0.2500, 0.2500)
Sr (0.5000, 0.5000, 0.5000)
Ca (0.7500, 0.7500, 0.7500)
Ca (0.0000, 0.0000, 0.0000)

- raw total energy (eV per atom) = -3.0796
- M_tot (Bohr magnetons per cell) = 0.000
- energy above the lowest structure with this stoichiometry (meV/atom) = 53
- ρ (g cm⁻³) = 2.760
- space group = F-43m

=====

[3]
This record from Alexandria describes crystalline SrCa2Y at its relaxed geometry. The functional is GGA-PBEsol.

a = 3.6903 Å, b = 3.6903 Å, c = 12.2614 Å
α = 90.00°, β = 90.00°, γ = 110.91°
Atoms (fractional coordinates):
Y (0.5000, 0.5000, 0.2432)
Ca (0.0000, 0.0000, 0.0106)
Ca (0.5000, 0.5000, 0.7568)
Sr (0.0000, 0.0000, 0.4893)

- raw total energy (eV per atom) = -3.1088
- M_tot (Bohr magnetons per cell) = 0.003
- energy above the lowest structure with this stoichiometry (meV/atom) = 23
- ρ (g cm⁻³) = 2.733
- space group = Cmm2

=====

[4]
This record from Alexandria describes crystalline SrCaZn2 at its relaxed geometry. The functional is GGA-PBEsol.

a = 4.3883 Å, b = 4.3883 Å, c = 7.6535 Å
α = 73.34°, β = 73.34°, γ = 60.00°
Atoms (fractional coordinates):
Ca (0.4604, 0.4604, 0.6190)
Zn (0.0453, 0.0453, 0.8641)
Zn (0.7118, 0.7118, 0.8647)
Sr (0.2826, 0.2826, 0.1523)

- raw total energy (eV per atom) = -1.9633
- M_tot (Bohr magnetons per cell) = 0.000
- ρ (g cm⁻³) = 3.564
- space group = R3m

=====

[5]
This record from Alexandria describes crystalline Sr2CaZn at its relaxed geometry. The functional is GGA-PBEsol.

a = 5.1158 Å, b = 5.1158 Å, c = 6.6269 Å
α = 112.70°, β = 112.70°, γ = 90.00°
Atoms (fractional coordinates):
Ca (0.2500, 0.7500, 0.5000)
Sr (0.7500, 0.2500, 0.5000)
Sr (0.0000, 0.0000, 0.0000)
Zn (0.5000, 0.5000, 0.0000)

- raw total energy (eV per atom) = -1.7258
- M_tot (Bohr magnetons per cell) = 0.001
- ρ (g cm⁻³) = 3.208
- space group = I-4m2

=====

[6]
This record from Alexandria describes crystalline SrCaZn2 at its relaxed geometry. The functional is GGA-PBEsol.

a = 4.4681 Å, b = 6.0742 Å, c = 8.1744 Å
α = 90.00°, β = 90.00°, γ = 90.00°
Atoms (fractional coordinates):
Zn (0.5000, 0.1377, 0.9705)
Zn (0.0000, 0.6632, 0.5252)
Zn (0.5000, 0.8623, 0.4705)
Zn (0.0000, 0.3368, 0.0252)
Ca (0.0000, 0.8685, 0.1804)
Ca (0.0000, 0.1315, 0.6804)
Sr (0.5000, 0.6327, 0.8239)
Sr (0.5000, 0.3673, 0.3239)

- raw total energy (eV per atom) = -1.9686
- M_tot (Bohr magnetons per cell) = 0.000
- ρ (g cm⁻³) = 3.870
- space group = Pmc2_1